# 1
# MgZnCo2 GGA-PBE relaxed
# Total moment: 10.85 μB per cell
# Calculated total energy: -4.182 eV/atom
data_MgZnCo2
_cell_length_a 5.914
_cell_length_b 5.914
_cell_length_c 5.914
_cell_angle_alpha 90.00
_cell_angle_beta 90.00
_cell_angle_gamma 90.00
_symmetry_space_group_name_H-M 'F -4 3 m'
_symmetry_Int_Tables_number 216
_symmetry_space_group_name_Hall 'F -4 2 3'
loop_
_atom_site_label
_atom_site_type_symbol
_atom_site_fract_x
_atom_site_fract_y
_atom_site_fract_z
Mg1 Mg 0.000 0.000 0.000
Zn1 Zn 0.250 0.250 0.750
Co1 Co 0.000 0.000 0.500
Co2 Co 0.250 0.250 0.250

---

# 2
# TlCdGe2 GGA-PBE relaxed
# Calculated total energy: -2.841 eV/atom
data_TlCdGe2
_cell_length_a 7.202
_cell_length_b 7.202
_cell_length_c 7.202
_cell_angle_alpha 90.00
_cell_angle_beta 90.00
_cell_angle_gamma 90.00
_symmetry_space_group_name_H-M 'F -4 3 m'
_symmetry_Int_Tables_number 216
_symmetry_space_group_name_Hall 'F -4 2 3'
loop_
_atom_site_label
_atom_site_type_symbol
_atom_site_fract_x
_atom_site_fract_y
_atom_site_fract_z
Tl1 Tl 0.000 0.000 0.000
Cd1 Cd 0.250 0.250 0.250
Ge1 Ge 0.000 0.000 0.500
Ge2 Ge 0.250 0.250 0.750

---

# 3
# ReAs GGA-PBE relaxed
# Total moment: 6.08 μB per cell
# Calculated total energy: -7.502 eV/atom
data_ReAs
_cell_length_a 5.174
_cell_length_b 5.174
_cell_length_c 5.174
_cell_angle_alpha 90.00
_cell_angle_beta 90.00
_cell_angle_gamma 90.00
_symmetry_space_group_name_H-M 'F m -3 m'
_symmetry_Int_Tables_number 225
_symmetry_space_group_name_Hall '-F 4 2 3'
loop_
_atom_site_label
_atom_site_type_symbol
_atom_site_fract_x
_atom_site_fract_y
_atom_site_fract_z
Re1 Re 0.000 0.000 0.000
As1 As 0.000 0.000 0.500

---

# 4
# CsK2Au7 GGA-PBE relaxed
# Calculated total energy: -2.867 eV/atom
data_CsK2Au7
_cell_length_a 5.674
_cell_length_b 13.826
_cell_length_c 7.328
_cell_angle_alpha 90.00
_cell_angle_beta 90.00
_cell_angle_gamma 90.00
_symmetry_space_group_name_H-M 'C m m m'
_symmetry_Int_Tables_number 65
_symmetry_space_group_name_Hall '-C 2 2'
loop_
_atom_site_label
_atom_site_type_symbol
_atom_site_fract_x
_atom_site_fract_y
_atom_site_fract_z
Cs1 Cs 0.000 0.000 0.000
K1 K 0.000 0.162 0.500
Au1 Au 0.000 0.387 0.204
Au2 Au 0.000 0.500 0.500
Au3 Au 0.250 0.250 0.000

---

# 5
# Th4PdAu GGA-PBE relaxed
# Total moment: 0.00 μB per cell
# Formation enthalpy at 0 K: -472 meV/atom
data_Th4PdAu
_cell_length_a 7.426
_cell_length_b 7.426
_cell_length_c 5.946
_cell_angle_alpha 90.00
_cell_angle_beta 90.00
_cell_angle_gamma 90.00
_symmetry_space_group_name_H-M 'P 4/m c c'
_symmetry_Int_Tables_number 124
_symmetry_space_group_name_Hall '-P 4 2c'
loop_
_atom_site_label
_atom_site_type_symbol
_atom_site_fract_x
_atom_site_fract_y
_atom_site_fract_z
Th1 Th 0.156 0.337 0.000
Pd1 Pd 0.000 0.000 0.250
Au1 Au 0.500 0.500 0.250

---

# 6
# DyTm2Al3Cu2Ni GGA-PBE relaxed
# Total moment: 0.00 μB per cell
# Calculated total energy: -4.718 eV/atom
data_DyTm2Al3Cu2Ni
_cell_length_a 3.974
_cell_length_b 12.003
_cell_length_c 6.938
_cell_angle_alpha 90.00
_cell_angle_beta 90.00
_cell_angle_gamma 90.00
_symmetry_space_group_name_H-M 'A m m 2'
_symmetry_Int_Tables_number 38
_symmetry_space_group_name_Hall 'A 2 -2'
loop_
_atom_site_label
_atom_site_type_symbol
_atom_site_fract_x
_atom_site_fract_y
_atom_site_fract_z
Dy1 Dy 0.000 0.000 0.000
Tm1 Tm 0.000 0.205 0.383
Al1 Al 0.500 0.000 0.356
Al2 Al 0.500 0.116 0.703
Cu1 Cu 0.500 0.169 0.089
Ni1 Ni 0.000 0.000 0.585

---

# 7
# TaNbBi2Os2 GGA-PBE relaxed
# Total moment: 0.01 μB per cell
# Calculated total energy: -8.612 eV/atom
data_TaNbBi2Os2
_cell_length_a 8.969
_cell_length_b 4.484
_cell_length_c 13.454
_cell_angle_alpha 90.00
_cell_angle_beta 109.47
_cell_angle_gamma 90.00
_symmetry_space_group_name_H-M 'P 1 m 1'
_symmetry_Int_Tables_number 6
_symmetry_space_group_name_Hall 'P -2y'
loop_
_atom_site_label
_atom_site_type_symbol
_atom_site_fract_x
_atom_site_fract_y
_atom_site_fract_z
Ta1 Ta 0.000 0.000 0.000
Ta2 Ta 0.125 0.500 0.750
Ta3 Ta 0.250 0.000 0.500
Ta4 Ta 0.500 0.000 0.000
Nb1 Nb 0.375 0.500 0.250
Nb2 Nb 0.625 0.500 0.750
Nb3 Nb 0.751 0.000 0.500
Nb4 Nb 0.875 0.500 0.250
Bi1 Bi 0.125 0.000 0.250
Bi2 Bi 0.250 0.500 0.000
Bi3 Bi 0.376 0.000 0.750
Bi4 Bi 0.501 0.500 0.500
Bi5 Bi 0.625 0.000 0.250
Bi6 Bi 0.750 0.500 0.000
Bi7 Bi 0.875 0.000 0.750
Bi8 Bi 0.999 0.500 0.500
Os1 Os 0.062 0.500 0.125
Os2 Os 0.187 0.000 0.875
Os3 Os 0.311 0.500 0.625
Os4 Os 0.437 0.000 0.375
Os5 Os 0.562 0.500 0.125
Os6 Os 0.688 0.000 0.876
Os7 Os 0.814 0.500 0.626
Os8 Os 0.939 0.000 0.375

---

# 8
# TbSmSn2 GGA-PBE relaxed
# Total moment: 0.06 μB per cell
# Calculated total energy: -4.281 eV/atom
data_TbSmSn2
_cell_length_a 3.356
_cell_length_b 6.272
_cell_length_c 12.365
_cell_angle_alpha 90.00
_cell_angle_beta 90.00
_cell_angle_gamma 90.00
_symmetry_space_group_name_H-M 'A m m 2'
_symmetry_Int_Tables_number 38
_symmetry_space_group_name_Hall 'A 2 -2'
loop_
_atom_site_label
_atom_site_type_symbol
_atom_site_fract_x
_atom_site_fract_y
_atom_site_fract_z
Tb1 Tb 0.000 0.000 0.000
Sm1 Sm 0.000 0.000 0.282
Sn1 Sn 0.000 0.000 0.528
Sn2 Sn 0.000 0.000 0.757

---

# 9
# ZnCuMo4C2 GGA-PBE relaxed
# Total moment: 0.00 μB per cell
# Calculated total energy: -8.268 eV/atom
data_ZnCuMo4C2
_cell_length_a 3.0657
_cell_length_b 3.0657
_cell_length_c 13.0770
_cell_angle_alpha 90.00
_cell_angle_beta 90.00
_cell_angle_gamma 120.00
_symmetry_space_group_name_H-M 'P -6 m 2'
_symmetry_Int_Tables_number 187
_symmetry_space_group_name_Hall 'P -6 2'
loop_
_atom_site_label
_atom_site_type_symbol
_atom_site_fract_x
_atom_site_fract_y
_atom_site_fract_z
Zn1 Zn 0.0000 0.0000 0.0000
Cu1 Cu 0.3333 0.6667 0.5000
Mo1 Mo 0.0000 0.0000 0.3405
Mo2 Mo 0.3333 0.6667 0.1655
C1 C 0.6667 0.3333 0.2529

---

# 10
# LaPr2B2Pd2N3 GGA-PBE relaxed
# Total moment: 0.02 μB per cell
# Calculated total energy: -7.382 eV/atom
data_LaPr2B2Pd2N3
_cell_length_a 3.794
_cell_length_b 3.794
_cell_length_c 20.857
_cell_angle_alpha 90.00
_cell_angle_beta 90.00
_cell_angle_gamma 90.00
_symmetry_space_group_name_H-M 'I 4/m m m'
_symmetry_Int_Tables_number 139
_symmetry_space_group_name_Hall '-I 4 2'
loop_
_atom_site_label
_atom_site_type_symbol
_atom_site_fract_x
_atom_site_fract_y
_atom_site_fract_z
La1 La 0.000 0.000 0.000
Pr1 Pr 0.000 0.000 0.378
B1 B 0.000 0.000 0.188
Pd1 Pd 0.000 0.500 0.250
N1 N 0.000 0.000 0.120
N2 N 0.000 0.000 0.500

---

# 11
# CsGdGeTe3 GGA-PBE relaxed
# Total moment: 0.00 μB per cell
# Calculated total energy: -4.153 eV/atom
data_CsGdGeTe3
_cell_length_a 4.654
_cell_length_b 16.794
_cell_length_c 12.234
_cell_angle_alpha 90.00
_cell_angle_beta 90.00
_cell_angle_gamma 90.00
_symmetry_space_group_name_H-M 'C m c m'
_symmetry_Int_Tables_number 63
_symmetry_space_group_name_Hall '-C 2c 2'
loop_
_atom_site_label
_atom_site_type_symbol
_atom_site_fract_x
_atom_site_fract_y
_atom_site_fract_z
Cs1 Cs 0.000 0.246 0.250
Gd1 Gd 0.000 0.500 0.000
Ge1 Ge 0.000 0.044 0.750
Te1 Te 0.000 0.124 0.541
Te2 Te 0.000 0.445 0.750

---

# 12
# MgZrAgAu GGA-PBE relaxed
# Total moment: 0.00 μB per cell
# Calculated total energy: -4.301 eV/atom
data_MgZrAgAu
_cell_length_a 6.684
_cell_length_b 6.684
_cell_length_c 6.684
_cell_angle_alpha 90.00
_cell_angle_beta 90.00
_cell_angle_gamma 90.00
_symmetry_space_group_name_H-M 'F -4 3 m'
_symmetry_Int_Tables_number 216
_symmetry_space_group_name_Hall 'F -4 2 3'
loop_
_atom_site_label
_atom_site_type_symbol
_atom_site_fract_x
_atom_site_fract_y
_atom_site_fract_z
Mg1 Mg 0.000 0.000 0.000
Zr1 Zr 0.250 0.250 0.250
Ag1 Ag 0.250 0.250 0.750
Au1 Au 0.000 0.000 0.500